Density functional theory data (PBE-GGA) for a relaxed structure of AgHPb.

The structure belongs to space group P-1 (No. 2); the cell edges are 3.265, 3.356 and 11.794 Å and the angles 97.54°, 97.79° and 90.00°. Symmetry generates all atoms from Ag at (0.215, 0.217, 0.429), H at (0.015, 0.000, 0.032) and Pb at (0.372, 0.364, 0.749).

The relative energy among the computed polymorphs is 0 meV per atom. The calculation puts the mass density at 8.27 g/cm3. The density of states at the Fermi level is 2.408 states/eV/cell. The value obtained for the uncorrected energy is -3.220 eV/atom.

=====

Density functional theory data (PBE-GGA) for a relaxed structure of Sc2Ga3Ni4.

The structure belongs to space group Cmce (No. 64); the cell edges are 5.195, 14.538 and 6.962 Å and the angles 90.00°, 90.00° and 90.00°. Symmetry generates all atoms from Sc at (0.000, 0.102, 0.091), Ga at (0.000, 0.000, 0.500), Ga at (0.250, 0.238, 0.750), Ni at (0.000, 0.171, 0.486) and Ni at (0.250, 0.069, 0.750).

The calculation puts the mass density at 6.74 g/cm3. The density of states at the Fermi level is 26.140 states/eV/cell. The value obtained for the uncorrected energy is -5.539 eV/atom. For the formation energy from the elements, the calculation gives -553 meV per atom.

=====

Density functional theory data (PBE-GGA) for a relaxed structure of Pr2YHo6Er3.

The structure belongs to space group C2/m (No. 12); the cell edges are 6.162, 10.664 and 11.780 Å and the angles 90.00°, 100.00° and 90.00°. Symmetry generates all atoms from Pr at (0.000, 0.167, 0.000), Y at (0.000, 0.500, 0.000), Ho at (0.247, 0.500, 0.745), Ho at (0.248, 0.167, 0.746), Er at (0.000, 0.000, 0.500) and Er at (0.000, 0.334, 0.500).

The calculation puts the mass density at 8.11 g/cm3. The density of states at the Fermi level is 31.775 states/eV/cell. The value obtained for the uncorrected energy is -4.743 eV/atom. For the formation energy from the elements, the calculation gives 22 meV per atom.

=====

Density functional theory data (PBE-GGA) for a relaxed structure of La3Pr4Cd4.

The structure belongs to space group Immm (No. 71); the cell edges are 5.368, 7.781 and 17.439 Å and the angles 90.00°, 90.00° and 90.00°. Symmetry generates all atoms from La at (0.000, 0.000, 0.000), La at (0.000, 0.500, 0.118), Pr at (0.000, 0.000, 0.214), Pr at (0.000, 0.221, 0.500) and Cd at (0.000, 0.308, 0.329).

The calculation puts the mass density at 6.52 g/cm3. The density of states at the Fermi level is 20.537 states/eV/cell. The value obtained for the uncorrected energy is -3.503 eV/atom. For the formation energy from the elements, the calculation gives -88 meV per atom.